(1)
# YIr2Br

Crystalline YIr2Br at its relaxed geometry (GGA-PBE, Alexandria via LeMat-Bulk).

Geometry as POSCAR:
```
YIr2Br
1.0
-1.374 2.478 2.057
-1.401 -2.477 2.048
5.809 -1.264 5.403
Ir Y Br
2 1 1
Direct
0.000 0.746 0.130
0.500 0.204 0.216
0.000 0.581 0.465
0.500 0.970 0.689
```

Computed properties:
The value obtained for the energy above the lowest structure with this stoichiometry is 0.40 eV/f.u. For the uncorrected energy, the calculation gives -6.795 eV per atom.

(2)
# YIrBr2

Crystalline YIrBr2 at its relaxed geometry (GGA-PBE, Alexandria via LeMat-Bulk).

Geometry as POSCAR:
```
YIrBr2
1.0
-2.887 2.764 2.342
-3.599 -2.528 -1.453
-2.459 -5.079 7.544
Ir Y Br
2 2 4
Direct
0.000 0.000 0.000
0.750 0.250 0.500
0.250 0.750 0.500
0.500 0.500 0.000
0.647 0.125 0.250
0.103 0.625 0.250
0.375 0.353 0.750
0.875 0.897 0.750
```

Computed properties:
The value obtained for the energy above the lowest structure with this stoichiometry is 2.12 eV/f.u. For the uncorrected energy, the calculation gives -4.975 eV per atom.

(3)
# YIr2Br

Crystalline YIr2Br at its relaxed geometry (GGA-PBE, Alexandria via LeMat-Bulk).

Geometry as POSCAR:
```
YIr2Br
1.0
4.041 0.000 0.000
0.000 4.041 0.000
2.020 2.020 10.672
Br Y Ir
2 2 4
Direct
0.500 0.500 0.000
0.250 0.750 0.500
0.000 0.000 0.000
0.750 0.250 0.500
0.045 0.625 0.250
0.375 0.295 0.750
0.705 0.125 0.250
0.875 0.955 0.750
```

Computed properties:
The value obtained for the energy above the lowest structure with this stoichiometry is 1.97 eV/f.u. For the uncorrected energy, the calculation gives -6.405 eV per atom.

(4)
# YIrBr2

Crystalline YIrBr2 at its relaxed geometry (GGA-PBE, Alexandria via LeMat-Bulk).

Geometry as POSCAR:
```
YIrBr2
1.0
3.431 0.000 0.000
0.000 3.799 0.000
0.000 0.000 6.599
Ir Br Y
1 2 1
Direct
0.500 0.500 0.250
0.000 0.000 0.992
0.000 0.000 0.508
0.500 0.500 0.750
```

Computed properties:
The value obtained for the energy above the lowest structure with this stoichiometry is 3.81 eV/f.u. For the uncorrected energy, the calculation gives -4.553 eV per atom.

(5)
# YIrBr2

Crystalline YIrBr2 at its relaxed geometry (GGA-PBE, Alexandria via LeMat-Bulk).

Geometry as POSCAR:
```
YIrBr2
1.0
5.782 0.015 0.000
2.846 5.033 0.000
-4.314 -2.524 2.907
Br Ir Y
2 1 1
Direct
0.250 0.750 0.500
0.000 0.000 0.000
0.500 0.500 0.000
0.750 0.250 0.500
```

Computed properties:
The value obtained for the energy above the lowest structure with this stoichiometry is 2.42 eV/f.u. For the uncorrected energy, the calculation gives -4.901 eV per atom.

(6)
# YIr2Br

Crystalline YIr2Br at its relaxed geometry (GGA-PBE, Alexandria via LeMat-Bulk).

Geometry as POSCAR:
```
YIr2Br
1.0
-3.763 -0.659 -3.842
-1.132 -2.160 -4.838
-1.642 -4.020 1.719
Y Ir Br
1 2 1
Direct
0.250 0.250 0.250
0.976 0.976 0.030
0.524 0.524 0.470
0.750 0.750 0.750
```

Computed properties:
The value obtained for the energy above the lowest structure with this stoichiometry is 1.35 eV/f.u. For the uncorrected energy, the calculation gives -6.560 eV per atom.

(7)
# Y3IrBr3

Crystalline Y3IrBr3 at its relaxed geometry (GGA-PBE, Alexandria via LeMat-Bulk).

Geometry as POSCAR:
```
Y3IrBr3
1.0
4.148 0.000 0.000
0.000 8.544 -0.319
0.000 0.182 11.846
Br Y Ir
6 6 2
Direct
0.250 0.435 0.370
0.250 0.868 0.901
0.750 0.132 0.099
0.250 0.336 0.854
0.750 0.565 0.630
0.750 0.664 0.146
0.750 0.735 0.401
0.250 0.848 0.640
0.750 0.152 0.360
0.250 0.902 0.174
0.750 0.098 0.826
0.250 0.265 0.599
0.750 0.051 0.596
0.250 0.949 0.404
```

Computed properties:
For the uncorrected energy, the calculation gives -6.146 eV per atom.

(8)
# YIrBr2

Crystalline YIrBr2 at its relaxed geometry (GGA-PBE, Alexandria via LeMat-Bulk).

Geometry as POSCAR:
```
YIrBr2
1.0
4.435 0.000 0.000
0.000 4.633 -0.008
0.000 0.344 4.634
Ir Y Br
1 1 2
Direct
0.500 0.250 0.250
0.500 0.750 0.750
0.000 0.024 0.024
0.000 0.476 0.476
```

Computed properties:
The value obtained for the energy above the lowest structure with this stoichiometry is 2.55 eV/f.u. For the uncorrected energy, the calculation gives -4.867 eV per atom.

(9)
# YIrBr2

Crystalline YIrBr2 at its relaxed geometry (GGA-PBE, Alexandria via LeMat-Bulk).

Geometry as POSCAR:
```
YIrBr2
1.0
10.146 -0.029 -0.017
9.565 3.385 -0.017
9.565 1.629 2.968
Ir Y Br
1 1 2
Direct
0.250 0.250 0.250
0.750 0.750 0.750
0.483 0.483 0.483
0.017 0.017 0.017
```

Computed properties:
The value obtained for the energy above the lowest structure with this stoichiometry is 3.91 eV/f.u. For the uncorrected energy, the calculation gives -4.527 eV per atom.

(10)
# YIr2Br

Crystalline YIr2Br at its relaxed geometry (GGA-PBE, Alexandria via LeMat-Bulk).

Geometry as POSCAR:
```
YIr2Br
1.0
-4.049 0.614 2.477
0.061 -4.687 -3.304
0.742 -2.335 1.910
Ir Y Br
2 1 1
Direct
0.000 0.000 0.000
0.500 0.000 0.500
0.000 0.500 0.500
0.500 0.500 0.000
```

Computed properties:
The value obtained for the energy above the lowest structure with this stoichiometry is 1.98 eV/f.u. For the uncorrected energy, the calculation gives -6.401 eV per atom.

(11)
# YIrBr2

Crystalline YIrBr2 at its relaxed geometry (GGA-PBE, Alexandria via LeMat-Bulk).

Geometry as POSCAR:
```
YIrBr2
1.0
3.588 0.000 0.000
0.000 5.391 0.000
0.000 0.000 4.475
Ir Br Y
1 2 1
Direct
0.500 0.000 0.500
0.500 0.500 0.000
0.000 0.000 0.000
0.000 0.500 0.500
```

Computed properties:
The value obtained for the energy above the lowest structure with this stoichiometry is 2.53 eV/f.u. For the uncorrected energy, the calculation gives -4.872 eV per atom.

(12)
# YIrBr3

Crystalline YIrBr3 at its relaxed geometry (GGA-PBE, Alexandria via LeMat-Bulk).

Geometry as POSCAR:
```
YIrBr3
1.0
5.084 0.000 0.000
0.000 5.084 0.000
0.000 0.000 5.084
Br Y Ir
3 1 1
Direct
0.000 0.500 0.000
0.000 0.000 0.500
0.500 0.000 0.000
0.500 0.500 0.500
0.000 0.000 0.000
```

Computed properties:
For the uncorrected energy, the calculation gives -4.069 eV per atom.